# 1
# RbLi2Tl2F7 (GGA-PBE, relaxed)
# total magnetization = 0.0000 μB/atom
# energy relative to the elements, uncorrected = -2.27 eV per atom
# crystal system = monoclinic
# volume = 341.4 Å³/cell
data_RbLi2Tl2F7
_chemical_formula_sum 'Rb2 Li4 Tl4 F14'
_cell_length_a 5.6139
_cell_length_b 5.6139
_cell_length_c 11.1886
_cell_angle_alpha 90.00
_cell_angle_beta 104.47
_cell_angle_gamma 90.00
_space_group_name_H-M_alt 'C 1 2/m 1'
_space_group_IT_number 12
loop_
_space_group_symop_operation_xyz
'x,y,z'
'-x,-y,-z'
'-x,y,-z'
'x,-y,z'
'x+1/2,y+1/2,z'
'-x+1/2,-y+1/2,-z'
'-x+1/2,y+1/2,-z'
'x+1/2,-y+1/2,z'
loop_
_atom_site_label
_atom_site_type_symbol
_atom_site_fract_x
_atom_site_fract_y
_atom_site_fract_z
Rb1 Rb 0.0000 0.0000 0.0000
Li1 Li 0.0894 0.5000 0.1794
Tl1 Tl 0.1774 0.0000 0.3572
F1 F 0.0000 0.5000 0.0000
F2 F 0.1397 0.2501 0.7788
F3 F 0.2144 0.5000 0.4274

# 2
# RbLiTlF3 (GGA-PBE, relaxed)
# total magnetization = 0.0000 μB/atom
# energy relative to the elements, uncorrected = -2.38 eV per atom
# crystal system = monoclinic
# volume = 462.4 Å³/cell
data_RbLiTlF3
_chemical_formula_sum 'Rb4 Li4 Tl4 F12'
_cell_length_a 15.2715
_cell_length_b 4.0905
_cell_length_c 7.7625
_cell_angle_alpha 90.00
_cell_angle_beta 107.53
_cell_angle_gamma 90.00
_space_group_name_H-M_alt 'C 1 2/m 1'
_space_group_IT_number 12
loop_
_space_group_symop_operation_xyz
'x,y,z'
'-x,-y,-z'
'-x,y,-z'
'x,-y,z'
'x+1/2,y+1/2,z'
'-x+1/2,-y+1/2,-z'
'-x+1/2,y+1/2,-z'
'x+1/2,-y+1/2,z'
loop_
_atom_site_label
_atom_site_type_symbol
_atom_site_fract_x
_atom_site_fract_y
_atom_site_fract_z
Rb1 Rb 0.1523 0.0000 0.0712
Li1 Li 0.0183 0.5000 0.7378
Tl1 Tl 0.1447 0.0000 0.5454
F1 F 0.0163 0.0000 0.6973
F2 F 0.1070 0.5000 0.2748
F3 F 0.1507 0.5000 0.8184

# 3
# RbLi4Tl3F12 (GGA-PBE, relaxed)
# total magnetization = 0.0000 μB/atom
# energy relative to the elements, uncorrected = -2.29 eV per atom
# crystal system = trigonal
# volume = 1052.2 Å³/cell
data_RbLi4Tl3F12
_chemical_formula_sum 'Rb3 Li12 Tl9 F36'
_cell_length_a 11.9598
_cell_length_b 11.9598
_cell_length_c 8.4942
_cell_angle_alpha 90.00
_cell_angle_beta 90.00
_cell_angle_gamma 120.00
_space_group_name_H-M_alt 'R 3 2'
_space_group_IT_number 155
_space_group_name_Hall 'R 3 2"'
loop_
_atom_site_label
_atom_site_type_symbol
_atom_site_fract_x
_atom_site_fract_y
_atom_site_fract_z
Rb1 Rb 0.0000 0.0000 0.0000
Li1 Li 0.0000 0.0000 0.5000
Li2 Li 0.0000 0.4454 0.5000
Tl1 Tl 0.0000 0.5500 0.0000
F1 F 0.0000 0.6018 0.5000
F2 F 0.0000 0.8461 0.5000
F3 F 0.0394 0.2191 0.1822

The lowest volume belongs to which entry?
RbLi2Tl2F7